a:
8
Lattice="4.5799 0.0000 0.0000 0.0000 4.5799 0.0000 0.0000 0.0000 8.4464" Properties=species:S:1:pos:R:3 comment="AgAsPbO | OQMD | PBE | optimized geometry" rho_g_cm3=7.61 vol_a3_per_atom=22.146 pbc="T T T"
As 2.2900 0.0000 1.7695
Pb 2.2900 2.2900 0.0000
O 2.2900 2.2900 4.2232
O 0.0000 0.0000 4.2232
Pb 0.0000 0.0000 0.0000
Ag 2.2900 0.0000 4.4579
Ag 0.0000 2.2900 3.9885
As 0.0000 2.2900 6.6769

***

b:
8
Lattice="4.1064 0.0000 0.0000 0.0000 6.9588 0.0000 0.0000 0.0000 5.7644" Properties=species:S:1:pos:R:3 comment="AgAsPbO | OQMD | PBE | optimized geometry" rho_g_cm3=8.19 vol_a3_per_atom=20.590 pbc="T T T"
O 2.0532 0.5019 5.1703
O 2.0532 6.4570 2.2882
As 0.0000 3.2830 1.7406
Pb 2.0532 1.5943 3.1049
Ag 0.0000 5.7298 2.9770
As 0.0000 3.6758 4.6228
Pb 2.0532 5.3646 0.2227
Ag 0.0000 1.2291 0.0948

***

Most stable structure - b; separation to the second - 31.9 kJ/mol of atoms.

***

a:
8
Lattice="-1.0949 3.0569 -1.8854 -5.5906 0.5905 4.2042 3.6668 3.9762 4.3175" Properties=species:S:1:pos:R:3 comment="AgAsPbO | OQMD | PBE | optimized geometry" rho_g_cm3=7.39 vol_a3_per_atom=22.802 pbc="T T T"
As -0.9111 3.1416 1.8840
O 2.3444 3.6092 4.4903
Pb 1.2119 5.5287 4.5216
Ag -4.6028 0.7039 3.8143
Pb -2.6954 3.7597 3.9224
O -3.2864 2.0222 5.1873
As -1.2945 5.3638 5.7098
Ag 1.2114 2.2715 2.9794

***

b:
8
Lattice="-2.5349 -2.8873 1.4839 2.5531 -2.9360 -1.3514 4.7003 0.2064 8.4313" Properties=species:S:1:pos:R:3 comment="AgAsPbO | OQMD | PBE | optimized geometry" rho_g_cm3=8.23 vol_a3_per_atom=20.474 pbc="T T T"
As 1.5776 -4.2988 2.9048
As 3.1408 -1.3181 5.6589
O -1.2629 -2.8995 0.7750
Pb 4.1411 -4.1862 7.5032
Ag 3.6312 -2.8206 3.5730
Ag 1.0872 -2.7963 4.9907
O 1.2811 -2.9238 -0.6426
Pb 0.5773 -1.4307 1.0606

***

Most stable structure - b; separation to the second - 15.0 kJ/mol of atoms.

***

a:
8
Lattice="-0.8704 3.2131 -2.3823 -1.7348 -2.5000 -2.7380 -5.9500 0.7057 3.1256" Properties=species:S:1:pos:R:3 comment="AgAsPtO | OQMD | PBE | optimized geometry" rho_g_cm3=11.55 vol_a3_per_atom=14.155 pbc="T T T"
As -5.1281 0.7092 1.0716
Pt -4.4937 -0.7189 -1.0863
Ag -1.7609 0.3099 -0.6972
As -3.4271 0.7095 -3.0664
Ag -6.7943 1.1089 -1.2975
O -1.0865 1.7848 -2.4712
Pt -4.0615 2.1376 -0.9084
O -1.5187 -1.0718 -2.6491

***

b:
8
Lattice="0.8838 1.0963 3.8535 -3.9799 -0.2117 0.9739 0.8459 -7.2738 1.8754" Properties=species:S:1:pos:R:3 comment="AgAsPtO | OQMD | PBE | optimized geometry" rho_g_cm3=10.28 vol_a3_per_atom=15.905 pbc="T T T"
As -2.0661 -1.5377 4.1881
Ag -1.5686 -5.8158 5.2911
Ag -0.6816 -0.5734 1.4117
Pt -2.3410 -3.5216 2.6315
Pt 0.0908 -2.8676 4.0713
O -2.7640 0.1153 1.6938
As -0.1841 -4.8515 2.5147
O -0.3321 0.7693 3.1336

***

Most stable structure - a; separation to the second - 4.4 kJ/mol of atoms.

***

a:
8
Lattice="-0.9291 -2.2875 2.8417 1.3092 -2.9462 -1.9435 7.7538 1.1581 3.4674" Properties=species:S:1:pos:R:3 comment="AgAsPtO | OQMD | PBE | optimized geometry" rho_g_cm3=10.77 vol_a3_per_atom=15.185 pbc="T T T"
Ag 3.5073 -1.8731 3.3791
O 0.7496 -2.7815 -0.7472
Pt 6.9099 -2.9358 3.6362
O -0.3696 -2.4522 1.6454
Ag 4.6265 -2.2025 0.9865
As 2.2331 -3.6343 1.5448
Pt 1.2239 -1.1398 0.7294
As 5.9007 -0.4413 2.8208

***

b:
8
Lattice="-2.6090 2.1945 -1.9302 -3.9674 -0.4750 4.8226 2.3434 4.9068 2.4112" Properties=species:S:1:pos:R:3 comment="AgAsPtO | OQMD | PBE | optimized geometry" rho_g_cm3=8.96 vol_a3_per_atom=18.243 pbc="T T T"
Pt 0.1979 2.1239 2.1472
Ag -2.6700 1.0532 0.8305
Ag -2.6137 3.3731 3.3920
O -1.4656 3.0053 1.4220
O -1.9865 5.2560 4.6850
As 1.3886 4.1336 2.8227
Pt -0.8659 4.3096 6.0703
As -2.5084 1.3539 4.9299

***

c:
8
Lattice="3.2491 0.0000 0.0000 0.0000 6.8244 0.0000 0.0000 0.0000 6.0694" Properties=species:S:1:pos:R:3 comment="AgAsPtO | OQMD | PBE | optimized geometry" rho_g_cm3=9.72 vol_a3_per_atom=16.822 pbc="T T T"
O 1.6245 5.4347 2.2719
Pt 1.6245 6.8193 0.7521
O 1.6245 1.3896 5.3066
As 0.0000 1.3134 2.2766
Ag 0.0000 3.0390 5.3451
Pt 1.6245 0.0051 3.7868
Ag 0.0000 3.7854 2.3104
As 0.0000 5.5110 5.3113

***

Most stable structure - c; separation to the second - 17.9 kJ/mol of atoms.